Here is crystalline MnMoRu2 at its relaxed geometry from Alexandria. Energies are from PBE-GGA.

a = 6.128 Å, b = 6.128 Å, c = 6.128 Å
α = 90.00°, β = 90.00°, γ = 90.00°
Space group F-43m (No. 216)
Asymmetric unit:
Mn (0.000, 0.000, 0.000) (multiplicity 4)
Mo (0.250, 0.250, 0.250) (multiplicity 4)
Ru (0.000, 0.000, 0.500) (multiplicity 4)
Ru (0.250, 0.250, 0.750) (multiplicity 4)

Calculated values
Energy relative to the lowest polymorph listed for this composition: 0.2335 eV/atom
ΔE_f: 0.265 eV per atom